Cr2CdPAu: optimized geometry, PBE.

Cell: 4.4113 4.8657 4.4113 Å, 90.00 90.00 90.00°
With the nearest neighbours (Å) after each atom.
Fractional coordinates of all 5 atoms:
Cd (0.0000, 0.5000, 0.0000)  2 P 2.43
Cr (0.5000, 0.0000, 0.0000)  2 P 2.21
Cr (0.0000, 0.0000, 0.5000)  2 P 2.21
Au (0.5000, 0.5000, 0.5000)  4 Cd 3.12, 8 Cr 3.28
P (0.0000, 0.0000, 0.0000)  4 Cr 2.21, 2 Cd 2.43

Properties
**Crystal system**: tetragonal
**E**: -5.330 eV per atom
**Total moment**: 5.7 μB/f.u.
**SG**: P4/mmm, No. 123
**DOS(E_F)**: 0.67 states/eV/atom

CrCdPd2Au: optimized geometry, PBE.

Cell: 4.9198 5.0091 4.9198 Å, 90.00 90.00 90.00°
With the nearest neighbours (Å) after each atom.
Fractional coordinates of all 5 atoms:
Au (0.5000, 0.5000, 0.5000)  4 Cr 3.48, 8 Pd 3.51
Cd (0.0000, 0.0000, 0.0000)  4 Pd 2.46, 2 Cr 2.50
Cr (0.0000, 0.5000, 0.0000)  2 Cd 2.50
Pd (0.5000, 0.0000, 0.0000)  2 Cd 2.46
Pd (0.0000, 0.0000, 0.5000)  2 Cd 2.46

Properties
**Crystal system**: tetragonal
**E**: -3.777 eV per atom
**Total moment**: 4.9 μB/f.u.
**SG**: P4/mmm, No. 123
**DOS(E_F)**: 0.29 states/eV/atom

CrCdPt2Au: optimized geometry, PBE.

Cell: 5.0099 4.9221 5.0099 Å, 90.00 90.00 90.00°
With the nearest neighbours (Å) after each atom.
Fractional coordinates of all 5 atoms:
Au (0.0000, 0.0000, 0.0000)  2 Cd 2.46, 4 Pt 2.50
Cd (0.0000, 0.5000, 0.0000)  2 Au 2.46
Cr (0.5000, 0.5000, 0.5000)  8 Pt 3.51, 4 Cd 3.54
Pt (0.0000, 0.0000, 0.5000)  2 Au 2.50
Pt (0.5000, 0.0000, 0.0000)  2 Au 2.50

Properties
**Crystal system**: tetragonal
**E**: -3.598 eV per atom
**Total moment**: 0.6 μB/f.u.
**SG**: P4/mmm, No. 123
**DOS(E_F)**: 1.57 states/eV/atom

CrCd2RhAu: optimized geometry, PBE.

Cell: 5.0901 4.9475 5.0901 Å, 90.00 90.00 90.00°
With the nearest neighbours (Å) after each atom.
Fractional coordinates of all 5 atoms:
Rh (0.5000, 0.5000, 0.5000)  8 Cd 3.55, 4 Cr 3.60
Au (0.0000, 0.0000, 0.0000)  2 Cr 2.47, 4 Cd 2.55
Cd (0.5000, 0.0000, 0.0000)  2 Au 2.55
Cd (0.0000, 0.0000, 0.5000)  2 Au 2.55
Cr (0.0000, 0.5000, 0.0000)  2 Au 2.47

Properties
**Crystal system**: tetragonal
**E**: -3.419 eV per atom
**Total moment**: 4.3 μB/f.u.
**SG**: P4/mmm, No. 123
**DOS(E_F)**: 0.68 states/eV/atom

ScCr2CdAu: optimized geometry, PBE.

Cell: 4.9791 5.2499 4.9791 Å, 90.00 90.00 90.00°
With the nearest neighbours (Å) after each atom.
Fractional coordinates of all 5 atoms:
Au (0.5000, 0.5000, 0.5000)  4 Sc 3.52, 8 Cr 3.62
Sc (0.0000, 0.5000, 0.0000)  2 Cd 2.62
Cd (0.0000, 0.0000, 0.0000)  4 Cr 2.49, 2 Sc 2.62
Cr (0.5000, 0.0000, 0.0000)  2 Cd 2.49
Cr (0.0000, 0.0000, 0.5000)  2 Cd 2.49

Properties
**Crystal system**: tetragonal
**E**: -4.800 eV per atom
**Total moment**: 8.1 μB/f.u.
**SG**: P4/mmm, No. 123
**DOS(E_F)**: 1.23 states/eV/atom

TlCrCd2Au: optimized geometry, PBE.

Cell: 5.5735 5.2776 5.5735 Å, 90.00 90.00 90.00°
With the nearest neighbours (Å) after each atom.
Fractional coordinates of all 5 atoms:
Cd (0.0000, 0.0000, 0.5000)  2 Tl 2.79
Au (0.0000, 0.5000, 0.0000)  2 Tl 2.64
Tl (0.0000, 0.0000, 0.0000)  2 Au 2.64, 4 Cd 2.79
Cr (0.5000, 0.5000, 0.5000)  8 Cd 3.84, 4 Au 3.94
Cd (0.5000, 0.0000, 0.0000)  2 Tl 2.79

Properties
**Crystal system**: tetragonal
**E**: -2.506 eV per atom
**Total moment**: 5.4 μB/f.u.
**SG**: P4/mmm, No. 123
**DOS(E_F)**: 0.51 states/eV/atom

V2CrCdAu: optimized geometry, PBE.

Cell: 4.2577 4.9896 4.2577 Å, 90.00 90.00 90.00°
With the nearest neighbours (Å) after each atom.
Fractional coordinates of all 5 atoms:
V (0.5000, 0.0000, 0.0000)  2 Cr 2.13
Cr (0.0000, 0.0000, 0.0000)  4 V 2.13
Au (0.0000, 0.5000, 0.0000)  2 Cr 2.49
V (0.0000, 0.0000, 0.5000)  2 Cr 2.13
Cd (0.5000, 0.5000, 0.5000)  4 Au 3.01, 8 V 3.28

Properties
**Crystal system**: tetragonal
**E**: -5.626 eV per atom
**Total moment**: 0.0 μB/f.u.
**SG**: P4/mmm, No. 123
**DOS(E_F)**: 1.08 states/eV/atom

Cs2Cd2Au: optimized geometry, PBE.

Cell: 7.3945 7.3945 6.6920 Å, 56.46 56.46 90.00°
With the nearest neighbours (Å) after each atom.
Fractional coordinates of all 5 atoms:
Cs (0.7500, 0.2500, 0.5000)  4 Cd 3.76, 2 Cs 4.18
Cd (0.3288, 0.3288, 0.3425)  1 Au 2.75, 1 Cd 2.86
Au (0.0000, 0.0000, 0.0000)  2 Cd 2.75
Cd (0.6712, 0.6712, 0.6575)  1 Au 2.75, 1 Cd 2.86
Cs (0.2500, 0.7500, 0.5000)  4 Cd 3.76, 2 Cs 4.18

Properties
**Crystal system**: tetragonal
**E**: -1.410 eV per atom
**Total moment**: 0.0 μB/f.u.
**SG**: I4/mmm, No. 139
**DOS(E_F)**: 0.51 states/eV/atom
**Relative energy among the computed polymorphs**: 108 meV per atom

Question: Among the records above, which one has the lowest DOS(E_F)?
Answer: CrCdPd2Au